# LiGd3Co

Crystalline LiGd3Co at its relaxed geometry (GGA-PBE, Alexandria).

a b c (Å): 5.2650 5.2650 5.2650
angles (deg): 90.00 90.00 90.00
Space group Pm-3m (No. 221)
Symmetry-distinct sites (fractional):
Li1 0.0000 0.0000 0.0000 x1
Gd1 0.0000 0.5000 0.5000 x3
Co1 0.5000 0.5000 0.5000 x1

## Properties
Calculated total energy   -51.25 eV/cell
Energy of formation from the pure elements   0.00 eV/atom
V   29.19 Å³/atom

# LiGdLuCo

Crystalline LiGdLuCo at its relaxed geometry (GGA-PBE, Alexandria).

a b c (Å): 6.8235 6.8235 6.8235
angles (deg): 90.00 90.00 90.00
Space group F-43m (No. 216)
Symmetry-distinct sites (fractional):
Li1 0.0000 0.0000 0.0000 x4
Gd1 0.2500 0.2500 0.2500 x4
Lu1 0.2500 0.2500 0.7500 x4
Co1 0.0000 0.0000 0.5000 x4

## Properties
Calculated total energy   -111.90 eV/cell
Energy of formation from the pure elements   -0.09 eV/atom
V   19.86 Å³/atom

# LiNdGdCo

Crystalline LiNdGdCo at its relaxed geometry (GGA-PBE, Alexandria).

a b c (Å): 7.0316 7.0316 7.0316
angles (deg): 90.00 90.00 90.00
Space group F-43m (No. 216)
Symmetry-distinct sites (fractional):
Li1 0.0000 0.0000 0.0000 x4
Nd1 0.2500 0.2500 0.2500 x4
Gd1 0.2500 0.2500 0.7500 x4
Co1 0.0000 0.0000 0.5000 x4

## Properties
Calculated total energy   -111.45 eV/cell
Energy of formation from the pure elements   0.00 eV/atom
V   21.73 Å³/atom

# LiGdCoRu

Crystalline LiGdCoRu at its relaxed geometry (GGA-PBE, Alexandria).

a b c (Å): 6.3556 6.3556 6.3556
angles (deg): 90.00 90.00 90.00
Space group F-43m (No. 216)
Symmetry-distinct sites (fractional):
Li1 0.0000 0.0000 0.0000 x4
Gd1 0.2500 0.2500 0.7500 x4
Co1 0.0000 0.0000 0.5000 x4
Ru1 0.2500 0.2500 0.2500 x4

## Properties
Calculated total energy   -127.87 eV/cell
Energy of formation from the pure elements   0.10 eV/atom
V   16.05 Å³/atom

# LiSmGdCo

Crystalline LiSmGdCo at its relaxed geometry (GGA-PBE, Alexandria).

a b c (Å): 6.9824 6.9824 6.9824
angles (deg): 90.00 90.00 90.00
Space group F-43m (No. 216)
Symmetry-distinct sites (fractional):
Li1 0.0000 0.0000 0.0000 x4
Sm1 0.2500 0.2500 0.2500 x4
Gd1 0.2500 0.2500 0.7500 x4
Co1 0.0000 0.0000 0.5000 x4

## Properties
Calculated total energy   -111.60 eV/cell
Energy of formation from the pure elements   -0.02 eV/atom
V   21.28 Å³/atom

# LiGdCoSn

Crystalline LiGdCoSn at its relaxed geometry (GGA-PBE, Alexandria).

a b c (Å): 6.5884 6.5884 6.5884
angles (deg): 90.00 90.00 90.00
Space group F-43m (No. 216)
Symmetry-distinct sites (fractional):
Li1 0.0000 0.0000 0.0000 x4
Gd1 0.2500 0.2500 0.2500 x4
Co1 0.0000 0.0000 0.5000 x4
Sn1 0.2500 0.2500 0.7500 x4

## Properties
Calculated total energy   -114.46 eV/cell
Energy of formation from the pure elements   -0.38 eV/atom
V   17.87 Å³/atom

# LiTbGdCo

Crystalline LiTbGdCo at its relaxed geometry (GGA-PBE, Alexandria).

a b c (Å): 6.9210 6.9210 6.9210
angles (deg): 90.00 90.00 90.00
Space group F-43m (No. 216)
Symmetry-distinct sites (fractional):
Li1 0.0000 0.0000 0.0000 x4
Tb1 0.2500 0.2500 0.7500 x4
Gd1 0.2500 0.2500 0.2500 x4
Co1 0.0000 0.0000 0.5000 x4

## Properties
Calculated total energy   -111.73 eV/cell
Energy of formation from the pure elements   -0.05 eV/atom
V   20.72 Å³/atom

# LiGdTlCo

Crystalline LiGdTlCo at its relaxed geometry (GGA-PBE, Alexandria).

a b c (Å): 6.6836 6.6836 6.6836
angles (deg): 90.00 90.00 90.00
Space group F-43m (No. 216)
Symmetry-distinct sites (fractional):
Li1 0.0000 0.0000 0.0000 x4
Gd1 0.2500 0.2500 0.2500 x4
Tl1 0.2500 0.2500 0.7500 x4
Co1 0.0000 0.0000 0.5000 x4

## Properties
Calculated total energy   -102.86 eV/cell
Energy of formation from the pure elements   -0.06 eV/atom
V   18.66 Å³/atom

# LiGdTmCo

Crystalline LiGdTmCo at its relaxed geometry (GGA-PBE, Alexandria).

a b c (Å): 6.8512 6.8512 6.8512
angles (deg): 90.00 90.00 90.00
Space group F-43m (No. 216)
Symmetry-distinct sites (fractional):
Li1 0.0000 0.0000 0.0000 x4
Gd1 0.2500 0.2500 0.2500 x4
Tm1 0.2500 0.2500 0.7500 x4
Co1 0.0000 0.0000 0.5000 x4

## Properties
Calculated total energy   -111.55 eV/cell
Energy of formation from the pure elements   -0.08 eV/atom
V   20.10 Å³/atom

# LiGdZnCo

Crystalline LiGdZnCo at its relaxed geometry (GGA-PBE, Alexandria).

a b c (Å): 6.4311 6.4311 6.4311
angles (deg): 90.00 90.00 90.00
Space group F-43m (No. 216)
Symmetry-distinct sites (fractional):
Li1 0.0000 0.0000 0.0000 x4
Gd1 0.2500 0.2500 0.7500 x4
Zn1 0.2500 0.2500 0.2500 x4
Co1 0.0000 0.0000 0.5000 x4

## Properties
Calculated total energy   -98.30 eV/cell
Energy of formation from the pure elements   -0.05 eV/atom
V   16.62 Å³/atom

# GdLuCo

Crystalline GdLuCo at its relaxed geometry (GGA-PBE, Alexandria).

a b c (Å): 3.8414 3.8414 6.1151
angles (deg): 90.00 90.00 120.00
Space group P3m1 (No. 156)
Symmetry-distinct sites (fractional):
Gd1 0.0000 0.0000 0.0000 x1
Lu1 0.3333 0.6667 0.4672 x1
Co1 0.6667 0.3333 0.2384 x1

## Properties
Calculated total energy   -25.90 eV/cell
Energy of formation from the pure elements   -0.07 eV/atom
V   26.05 Å³/atom
E above lowest polymorph   0.073 eV/atom

# GdLuCo2

Crystalline GdLuCo2 at its relaxed geometry (GGA-PBE, Alexandria).

a b c (Å): 6.6299 6.6299 6.6299
angles (deg): 90.00 90.00 90.00
Space group Fm-3m (No. 225)
Symmetry-distinct sites (fractional):
Gd1 0.0000 0.0000 0.0000 x4
Lu1 0.0000 0.0000 0.5000 x4
Co1 0.2500 0.2500 0.2500 x8

## Properties
Calculated total energy   -134.07 eV/cell
Energy of formation from the pure elements   -0.18 eV/atom
V   18.21 Å³/atom